Entry 1:
CsSmCoTe3 | the Open Quantum Materials Database | PBE-GGA | relaxed; crystal system = orthorhombic; space-group type = Pnma; VASP energy = -107.50 eV/cell
1.0
-6.632 -9.410 -0.826
3.635 -2.509 -0.603
1.137 -2.211 16.065
Te Cs Sm Co
12 4 4 4
Cartesian
-0.032 -4.764 11.395
-1.828 -9.366 3.241
0.643 -8.223 13.382
-2.503 -5.907 1.255
1.121 -1.800 6.007
-3.308 -9.546 11.546
-2.980 -12.330 8.629
-3.130 -8.305 7.450
1.448 -4.584 3.090
0.734 -4.666 15.609
1.271 -5.825 7.186
-2.594 -9.464 -0.972
-5.320 -10.080 1.634
-1.801 -5.770 4.913
-0.058 -8.360 9.723
3.461 -4.049 13.003
-2.317 -8.789 14.373
-2.433 -10.874 5.869
0.457 -5.341 0.264
0.573 -3.256 8.767
2.160 -4.119 5.449
-4.020 -10.011 9.187
-0.419 -5.859 13.617
-1.440 -8.271 1.019

---

Entry 2:
Co2BAs | the Open Quantum Materials Database | PBE-GGA | relaxed; crystal system = orthorhombic; space-group type = Pmc2_1; VASP energy = -51.69 eV/cell
1.0
-0.354 -0.308 2.811
-1.542 -5.796 -0.830
4.870 -1.362 0.464
As Co B
2 4 2
Cartesian
3.504 -2.967 0.116
0.511 -4.383 -0.416
3.554 -4.926 1.352
-1.487 -5.625 -0.804
2.398 -0.857 0.208
1.424 -3.101 1.284
0.687 -1.267 1.392
2.011 -6.122 1.026

---

Entry 3:
BaLiErSe3 | the Open Quantum Materials Database | PBE-GGA | relaxed; crystal system = monoclinic; space-group type = C2/m; VASP energy = -59.43 eV/cell
1.0
-7.678 4.921 -1.011
-7.902 2.112 -4.157
-2.339 -6.319 5.809
Er Ba Li Se
2 2 2 6
Cartesian
-3.925 -2.514 2.525
-13.993 3.228 -1.884
-2.283 0.546 -0.325
-15.636 0.167 0.966
-8.409 1.571 -0.802
-9.510 -0.857 1.444
-11.280 2.400 -1.338
-12.313 -0.326 1.170
-7.790 3.516 -2.584
-1.169 -3.159 2.905
-6.639 -1.686 1.979
-5.606 1.040 -0.528

---

Entry 4:
Dy4Y2LuNi2Te2 | the Open Quantum Materials Database | PBE-GGA | relaxed; crystal system = orthorhombic; space-group type = Imm2; VASP energy = -60.61 eV/cell
1.0
-7.604 -0.984 5.390
1.036 7.943 -4.865
-2.382 -8.954 1.414
Y Dy Ni Te Lu
2 4 2 2 1
Cartesian
-0.844 2.658 -2.585
-3.747 -0.230 -0.607
0.405 5.896 -4.020
-6.937 -1.411 0.983
-3.783 -2.468 2.198
-7.465 -6.132 4.707
-5.048 0.453 1.836
-2.665 -3.758 0.004
-6.570 -3.298 3.528
-0.929 0.984 0.074
-3.133 3.319 0.250

---

Entry 5:
HfTcIr | the Open Quantum Materials Database | PBE-GGA | relaxed; crystal system = cubic; energy of formation from the pure elements = 0.39 eV/atom; space-group type = F-43m; VASP energy = -27.99 eV/cell
1.0
0.000 3.068 3.068
3.068 0.000 3.068
3.068 3.068 0.000
Hf Tc Ir
1 1 1
Cartesian
0.000 0.000 0.000
4.602 4.602 4.602
1.534 1.534 1.534

---

Entry 6:
CuGeTe2 | the Open Quantum Materials Database | PBE-GGA | relaxed; crystal system = cubic; space-group type = F-43m; VASP energy = -12.59 eV/cell
1.0
-4.835 -1.243 -0.842
-3.710 2.556 2.310
-2.982 3.099 -2.671
Ge Te Cu
1 2 1
Cartesian
-5.764 2.207 -0.602
-8.646 3.310 -0.903
0.000 0.000 0.000
-2.882 1.103 -0.301